! PBE YGa2Pd, optimized geometry; values from VASP
! VASP energy ... -5.169 eV/atom
! Spin magnetization ... 0.00 μB/f.u.
! Crystal system ... orthorhombic
! Space group ... Cmmm
&SYSTEM
  ibrav = 0, nat = 8, ntyp = 3
/
ATOMIC_SPECIES
Pd 106.42 Pd.upf
Ga 69.72 Ga.upf
Y 88.91 Y.upf
CELL_PARAMETERS angstrom
-0.918 8.570 -3.770
-3.240 -7.904 3.940
0.424 1.692 3.743
ATOMIC_POSITIONS crystal
Pd 0.919 0.081 0.000
Pd 0.081 0.919 0.000
Ga 0.000 0.000 0.500
Ga 0.500 0.500 0.000
Ga 0.785 0.215 0.000
Ga 0.215 0.785 0.000
Y 0.355 0.645 0.500
Y 0.645 0.355 0.500